No. 1
{
  "formula": "TmSc2In",
  "functional": "PBE-GGA",
  "state": "optimized geometry",
  "delta_e_f_mev_per_atom": -133,
  "space_group": "R3m (160)",
  "de_polymorph_ev_per_fu": 0.52,
  "lattice_angstrom": [[-0.298, -2.931, 1.644], [2.676, -2.026, 0.333], [3.276, 3.094, 9.572]],
  "species": ["Tm", "Sc", "Sc", "In"],
  "frac_coords": [[0.500, 0.500, 0.500], [0.080, 0.080, 0.761], [0.254, 0.254, 0.239], [0.666, 0.666, 0.001]]
}

=====

No. 2
{
  "formula": "AlIn",
  "functional": "PBE-GGA",
  "state": "optimized geometry",
  "delta_e_f_mev_per_atom": 165,
  "space_group": "R-3m (166)",
  "lattice_angstrom": [[-3.801, -1.930, -4.027], [0.499, -3.308, -4.816], [-1.980, -5.307, -1.519]],
  "species": ["Al", "Al", "In", "In"],
  "frac_coords": [[0.315, 0.315, 0.315], [0.685, 0.685, 0.685], [0.112, 0.112, 0.112], [0.888, 0.888, 0.888]]
}

=====

No. 3
{
  "formula": "Pm6Pr5Sm2",
  "functional": "PBE-GGA",
  "state": "optimized geometry",
  "delta_e_f_mev_per_atom": 87,
  "space_group": "Pbam (55)",
  "lattice_angstrom": [[3.678, 0.000, 0.000], [0.000, 11.928, 0.000], [0.000, 0.000, 21.017]],
  "species": ["Pm", "Pm", "Pm", "Pm", "Pm", "Pm", "Pm", "Pm", "Pm", "Pm", "Pm", "Pm", "Pr", "Pr", "Pr", "Pr", "Pr", "Pr", "Pr", "Pr", "Pr", "Pr", "Sm", "Sm", "Sm", "Sm"],
  "frac_coords": [[0.000, 0.079, 0.367], [0.000, 0.921, 0.633], [0.000, 0.579, 0.133], [0.000, 0.421, 0.867], [0.500, 0.322, 0.135], [0.500, 0.678, 0.865], [0.500, 0.822, 0.365], [0.500, 0.178, 0.635], [0.000, 0.562, 0.421], [0.000, 0.438, 0.579], [0.000, 0.062, 0.079], [0.000, 0.938, 0.921], [0.500, 0.301, 0.446], [0.500, 0.699, 0.554], [0.500, 0.801, 0.054], [0.500, 0.199, 0.946], [0.500, 0.583, 0.276], [0.500, 0.417, 0.724], [0.500, 0.083, 0.224], [0.500, 0.917, 0.776], [0.500, 0.500, 0.000], [0.500, 0.000, 0.500], [0.000, 0.327, 0.286], [0.000, 0.673, 0.714], [0.000, 0.827, 0.214], [0.000, 0.173, 0.786]]
}

=====

No. 4
{
  "formula": "AlSiAs2Br",
  "functional": "PBE-GGA",
  "state": "optimized geometry",
  "space_group": "P4/mmm (123)",
  "e_form_raw_mev_per_atom": 531,
  "de_polymorph_ev_per_fu": 0.00,
  "lattice_angstrom": [[4.799, 0.000, 0.000], [0.000, 4.799, 0.000], [0.000, 0.000, 5.187]],
  "species": ["As", "As", "Si", "Br", "Al"],
  "frac_coords": [[0.000, 0.500, 0.000], [0.500, 0.000, 0.000], [0.000, 0.000, 0.000], [0.000, 0.000, 0.500], [0.500, 0.500, 0.500]]
}

=====

No. 5
{
  "formula": "La2SmEr5Sc",
  "functional": "PBE-GGA",
  "state": "optimized geometry",
  "delta_e_f_mev_per_atom": 157,
  "space_group": "Cmc2_1 (36)",
  "lattice_angstrom": [[-1.793, 1.957, 4.920], [-5.471, -8.453, -1.806], [7.264, -5.756, 4.937]],
  "species": ["La", "La", "La", "La", "Sm", "Sm", "Er", "Er", "Er", "Er", "Er", "Er", "Er", "Er", "Er", "Er", "Sc", "Sc"],
  "frac_coords": [[0.886, 0.772, 0.814], [0.116, 0.231, 0.733], [0.114, 0.228, 0.314], [0.884, 0.769, 0.233], [0.588, 0.175, 0.962], [0.412, 0.825, 0.462], [0.376, 0.753, 0.018], [0.723, 0.445, 0.821], [0.483, 0.966, 0.740], [0.297, 0.593, 0.703], [0.984, 0.968, 0.520], [0.624, 0.247, 0.518], [0.277, 0.555, 0.321], [0.517, 0.034, 0.240], [0.703, 0.407, 0.203], [0.016, 0.032, 0.020], [0.801, 0.603, 0.513], [0.199, 0.397, 0.013]]
}

=====

No. 6
{
  "formula": "MgMo2Cl",
  "functional": "PBE-GGA",
  "state": "optimized geometry",
  "space_group": "Cm (8)",
  "e_form_raw_mev_per_atom": 514,
  "de_polymorph_ev_per_fu": 2.20,
  "lattice_angstrom": [[4.902, -0.011, 0.019], [4.098, 2.690, 0.019], [1.463, 0.435, 5.190]],
  "species": ["Cl", "Mg", "Mo", "Mo"],
  "frac_coords": [[0.527, 0.527, 0.591], [0.778, 0.778, 0.690], [0.985, 0.985, 0.010], [0.210, 0.210, 0.209]]
}

=====

No. 7
{
  "formula": "NaTiPtSe3",
  "functional": "PBE-GGA",
  "state": "optimized geometry",
  "space_group": "P2_1/m (11)",
  "e_form_raw_mev_per_atom": -800,
  "lattice_angstrom": [[-1.161, -2.107, -2.758], [-3.173, -2.849, 5.942], [-7.755, 5.956, -1.285]],
  "species": ["Na", "Na", "Se", "Se", "Se", "Se", "Se", "Se", "Pt", "Pt", "Ti", "Ti"],
  "frac_coords": [[0.773, 0.545, 0.750], [0.227, 0.455, 0.250], [0.913, 0.826, 0.250], [0.370, 0.739, 0.959], [0.087, 0.174, 0.750], [0.370, 0.739, 0.541], [0.630, 0.261, 0.041], [0.630, 0.261, 0.459], [0.467, 0.934, 0.750], [0.533, 0.066, 0.250], [0.000, 0.000, 0.500], [0.000, 0.000, 0.000]]
}

=====

No. 8
{
  "formula": "CaAg2SeO4",
  "functional": "PBE-GGA",
  "state": "optimized geometry",
  "space_group": "I-4 (82)",
  "e_form_raw_mev_per_atom": -871,
  "lattice_angstrom": [[-2.460, 2.627, 4.855], [2.064, -5.660, -0.471], [5.572, 0.812, -2.195]],
  "species": ["Ca", "Ag", "Ag", "Se", "O", "O", "O", "O"],
  "frac_coords": [[0.500, 0.250, 0.750], [0.500, 0.750, 0.250], [0.000, 0.000, 0.000], [0.000, 0.500, 0.500], [0.574, 0.388, 0.407], [0.019, 0.186, 0.612], [0.981, 0.593, 0.167], [0.426, 0.833, 0.814]]
}